Entry 1:
A plane-wave DFT calculation with PBE-GGA was carried out for LiSmCuSi2 after structural relaxation.

```
data_LiSmCuSi2
_chemical_formula_sum 'Li2 Sm2 Cu2 Si4'
_cell_length_a 4.0562
_cell_length_b 4.0562
_cell_length_c 10.2133
_cell_angle_alpha 90.00
_cell_angle_beta 90.00
_cell_angle_gamma 90.00
_space_group_name_H-M_alt 'I -4 m 2'
_space_group_IT_number 119
_space_group_name_Hall 'I -4 -2'
loop_
_atom_site_label
_atom_site_type_symbol
_atom_site_fract_x
_atom_site_fract_y
_atom_site_fract_z
_atom_site_occupancy
Li1 Li 0.0000 0.0000 0.0000 1
Sm1 Sm 0.0000 0.5000 0.7500 1
Cu1 Cu 0.0000 0.0000 0.5000 1
Si1 Si 0.0000 0.5000 0.1340 1
```

Results
raw formation energy: -0.56 eV per atom
final energy: -4.8704 eV/atom
total magnetization: 0.00 μB per formula unit

=====

Entry 2:
A plane-wave DFT calculation with PBE-GGA was carried out for InTcOs2 after structural relaxation.

```
data_InTcOs2
_chemical_formula_sum 'In1 Tc1 Os2'
_cell_length_a 2.8302
_cell_length_b 2.8302
_cell_length_c 7.9092
_cell_angle_alpha 90.00
_cell_angle_beta 90.00
_cell_angle_gamma 90.00
_space_group_name_H-M_alt 'P 4 m m'
_space_group_IT_number 99
_space_group_name_Hall 'P 4 -2'
loop_
_atom_site_label
_atom_site_type_symbol
_atom_site_fract_x
_atom_site_fract_y
_atom_site_fract_z
_atom_site_occupancy
In1 In 0.0000 0.0000 0.0000 1
Tc1 Tc 0.5000 0.5000 0.7264 1
Os1 Os 0.0000 0.0000 0.4962 1
Os2 Os 0.5000 0.5000 0.2712 1
```

Results
formation energy: 0.302 eV/atom
final energy: -8.5891 eV/atom
total magnetization: 0.00 μB per formula unit

=====

Entry 3:
A plane-wave DFT calculation with PBE-GGA was carried out for RbS2NO after structural relaxation.

```
data_RbS2NO
_chemical_formula_sum 'Rb1 S2 N1 O1'
_cell_length_a 6.5601
_cell_length_b 6.5601
_cell_length_c 6.0019
_cell_angle_alpha 90.00
_cell_angle_beta 90.00
_cell_angle_gamma 90.00
_space_group_name_H-M_alt 'P 4/m m m'
_space_group_IT_number 123
_space_group_name_Hall '-P 4 2'
loop_
_atom_site_label
_atom_site_type_symbol
_atom_site_fract_x
_atom_site_fract_y
_atom_site_fract_z
_atom_site_occupancy
Rb1 Rb 0.0000 0.0000 0.0000 1
S1 S 0.0000 0.5000 0.0000 1
N1 N 0.0000 0.0000 0.5000 1
O1 O 0.5000 0.5000 0.5000 1
```

Results
raw formation energy: 2.13 eV per atom
final energy: -2.3745 eV/atom
total magnetization: 8.00 μB per formula unit

=====

Entry 4:
A plane-wave DFT calculation with PBE-GGA was carried out for Nd5SmY4 after structural relaxation.

```
data_Nd5SmY4
_chemical_formula_sum 'Nd10 Sm2 Y8'
_cell_length_a 9.3243
_cell_length_b 9.3640
_cell_length_c 7.9851
_cell_angle_alpha 90.00
_cell_angle_beta 90.00
_cell_angle_gamma 90.00
_space_group_name_H-M_alt 'P m m n'
_space_group_IT_number 59
loop_
_space_group_symop_operation_xyz
'x,y,z'
'-x,-y,-z'
'-x+1/2,-y+1/2,z'
'x+1/2,y+1/2,-z'
'x+1/2,-y,-z'
'-x+1/2,y,z'
'-x,y+1/2,-z'
'x,-y+1/2,z'
loop_
_atom_site_label
_atom_site_type_symbol
_atom_site_fract_x
_atom_site_fract_y
_atom_site_fract_z
_atom_site_occupancy
Nd1 Nd 0.0617 0.0626 0.1909 1
Nd2 Nd 0.2500 0.7500 0.9964 1
Sm1 Sm 0.2500 0.2500 0.8821 1
Y1 Y 0.0255 0.7500 0.4039 1
Y2 Y 0.2500 0.5142 0.5930 1
```

Results
formation energy: 0.163 eV/atom
final energy: -5.2783 eV/atom
total magnetization: 0.00 μB per formula unit

=====

Entry 5:
A plane-wave DFT calculation with PBE-GGA was carried out for TbMn2Tl3Te6 after structural relaxation.

```
data_TbMn2Tl3Te6
_chemical_formula_sum 'Tb2 Mn4 Tl6 Te12'
_cell_length_a 7.3839
_cell_length_b 12.6467
_cell_length_c 8.3679
_cell_angle_alpha 90.00
_cell_angle_beta 106.86
_cell_angle_gamma 90.00
_space_group_name_H-M_alt 'C 1 2/m 1'
_space_group_IT_number 12
_space_group_name_Hall '-C 2y'
loop_
_atom_site_label
_atom_site_type_symbol
_atom_site_fract_x
_atom_site_fract_y
_atom_site_fract_z
_atom_site_occupancy
Tb1 Tb 0.0000 0.0000 0.0000 1
Mn1 Mn 0.0000 0.3309 0.0000 1
Tl1 Tl 0.0000 0.1539 0.5000 1
Tl2 Tl 0.0000 0.5000 0.5000 1
Te1 Te 0.2015 0.5000 0.1917 1
Te2 Te 0.2462 0.1803 0.2032 1
```

Results
raw formation energy: -0.47 eV per atom
final energy: -4.5419 eV/atom
total magnetization: 8.18 μB per formula unit

=====

Entry 6:
A plane-wave DFT calculation with PBE-GGA was carried out for NdPuZr2 after structural relaxation.

```
data_NdPuZr2
_chemical_formula_sum 'Nd1 Pu1 Zr2'
_cell_length_a 4.6509
_cell_length_b 4.6509
_cell_length_c 4.8332
_cell_angle_alpha 90.00
_cell_angle_beta 90.00
_cell_angle_gamma 90.00
_space_group_name_H-M_alt 'P 4/m m m'
_space_group_IT_number 123
_space_group_name_Hall '-P 4 2'
loop_
_atom_site_label
_atom_site_type_symbol
_atom_site_fract_x
_atom_site_fract_y
_atom_site_fract_z
_atom_site_occupancy
Nd1 Nd 0.0000 0.0000 0.0000 1
Pu1 Pu 0.5000 0.5000 0.0000 1
Zr1 Zr 0.0000 0.5000 0.5000 1
```

Results
formation energy: 0.208 eV/atom
final energy: -8.8407 eV/atom
total magnetization: 5.88 μB per formula unit